A geometry-optimized RbNpC2O8 structure, computed with PBE.

Cell lengths 6.4264, 6.0926, 8.1766 Å; angles 56.39, 66.86, 58.17 degrees
Atoms (fractional coordinates):
C: 0.7529 0.7144 0.7797
C: 0.2471 0.2856 0.2203
O: 0.2515 0.4475 0.0494
O: 0.7485 0.5525 0.9506
O: 0.1726 0.8693 0.1968
O: 0.2364 0.1360 0.3912
O: 0.7612 0.8693 0.1968
O: 0.8274 0.1307 0.8032
O: 0.2388 0.1307 0.8032
O: 0.7636 0.8640 0.6088
Np: 0.0000 0.0000 0.0000
Rb: 0.5000 0.5000 0.5000

Output
Its total energy is -7.76 eV/atom. Its formation energy without anion corrections is -1753.7 meV per atom. As for the symmetry: C2/m (12). The value obtained for the volume is 18.7 A^3/atom.